{
  "formula": "Nd5MgCd6",
  "functional": "PBE-GGA",
  "state": "relaxed",
  "lattice": [[5.103, -0.003, -1.429], [-3.823, 7.567, -3.849], [-0.157, -1.015, 9.254]],
  "species": ["Cd", "Cd", "Cd", "Cd", "Cd", "Cd", "Nd", "Nd", "Nd", "Nd", "Nd", "Mg"],
  "frac_coords": [[0.734, 0.233, 0.233], [0.238, 0.395, 0.081], [0.238, 0.081, 0.395], [0.266, 0.767, 0.767], [0.762, 0.919, 0.605], [0.762, 0.605, 0.919], [0.000, 0.668, 0.332], [0.500, 0.500, 0.500], [0.000, 0.332, 0.668], [0.500, 0.168, 0.832], [0.500, 0.832, 0.168], [0.000, 0.000, 0.000]],
  "dos_ef_per_ev_cell": 11.58,
  "crystal_system": "orthorhombic",
  "delta_e_f_mev_per_atom": -298
}

=====

{
  "formula": "NdMg4Cd",
  "functional": "PBE-GGA",
  "state": "relaxed",
  "lattice": [[5.989, 0.000, 0.000], [2.995, 5.187, 0.000], [2.995, 1.729, 4.890]],
  "species": ["Mg", "Mg", "Mg", "Mg", "Nd", "Cd"],
  "frac_coords": [[0.625, 0.126, 0.625], [0.126, 0.625, 0.625], [0.625, 0.625, 0.126], [0.625, 0.625, 0.625], [0.250, 0.250, 0.250], [0.000, 0.000, 0.000]],
  "dos_ef_per_ev_cell": 4.11,
  "crystal_system": "cubic",
  "delta_e_f_mev_per_atom": 4
}

=====

{
  "formula": "Nd3MgCd2",
  "functional": "PBE-GGA",
  "state": "relaxed",
  "lattice": [[3.871, 0.000, 0.000], [0.000, 5.165, -1.710], [0.000, 0.000, 8.655]],
  "species": ["Mg", "Cd", "Cd", "Nd", "Nd", "Nd"],
  "frac_coords": [[0.000, 0.000, 0.000], [0.000, 0.661, 0.322], [0.000, 0.339, 0.678], [0.500, 0.500, 0.000], [0.500, 0.832, 0.663], [0.500, 0.168, 0.337]],
  "dos_ef_per_ev_cell": 7.22,
  "crystal_system": "orthorhombic",
  "delta_e_f_mev_per_atom": -253
}

=====

{
  "formula": "Nd5Mg5Cd2",
  "functional": "PBE-GGA",
  "state": "relaxed",
  "lattice": [[-1.529, -4.879, 1.703], [-1.943, -3.592, -3.516], [11.893, -7.710, -2.843]],
  "species": ["Mg", "Mg", "Mg", "Mg", "Mg", "Nd", "Nd", "Nd", "Nd", "Nd", "Cd", "Cd"],
  "frac_coords": [[0.500, 0.500, 0.500], [0.308, 0.308, 0.077], [0.692, 0.692, 0.923], [0.227, 0.227, 0.320], [0.773, 0.773, 0.680], [0.604, 0.604, 0.189], [0.000, 0.000, 0.000], [0.856, 0.856, 0.433], [0.396, 0.396, 0.811], [0.144, 0.144, 0.567], [0.072, 0.072, 0.783], [0.928, 0.928, 0.217]],
  "dos_ef_per_ev_cell": 12.97,
  "crystal_system": "monoclinic",
  "delta_e_f_mev_per_atom": -53
}

=====

{
  "formula": "Nd3Mg9Cd2",
  "functional": "PBE-GGA",
  "state": "relaxed",
  "lattice": [[4.796, 0.000, 1.288], [2.044, 8.459, 1.963], [0.181, -0.587, 8.900]],
  "species": ["Mg", "Mg", "Mg", "Mg", "Mg", "Mg", "Mg", "Mg", "Mg", "Nd", "Nd", "Nd", "Cd", "Cd"],
  "frac_coords": [[0.365, 0.006, 0.263], [0.635, 0.994, 0.737], [0.858, 0.417, 0.868], [0.142, 0.583, 0.132], [0.635, 0.737, 0.994], [0.000, 0.500, 0.500], [0.365, 0.263, 0.006], [0.858, 0.868, 0.417], [0.142, 0.132, 0.583], [0.288, 0.712, 0.712], [0.000, 0.000, 0.000], [0.712, 0.288, 0.288], [0.500, 0.664, 0.336], [0.500, 0.336, 0.664]],
  "dos_ef_per_ev_cell": 13.18,
  "crystal_system": "orthorhombic",
  "delta_e_f_mev_per_atom": -97
}

=====

{
  "formula": "Nd6MgCd2",
  "functional": "PBE-GGA",
  "state": "relaxed",
  "lattice": [[-3.233, -7.685, -3.631], [5.623, 3.786, -6.061], [4.578, -1.592, 7.694]],
  "species": ["Nd", "Nd", "Nd", "Nd", "Nd", "Nd", "Nd", "Nd", "Nd", "Nd", "Nd", "Nd", "Cd", "Cd", "Cd", "Cd", "Mg", "Mg"],
  "frac_coords": [[0.800, 0.254, 0.054], [0.800, 0.746, 0.546], [0.200, 0.746, 0.946], [0.268, 0.946, 0.678], [0.085, 0.266, 0.819], [0.732, 0.054, 0.322], [0.268, 0.590, 0.322], [0.732, 0.410, 0.678], [0.200, 0.254, 0.454], [0.915, 0.734, 0.181], [0.447, 0.266, 0.181], [0.553, 0.734, 0.819], [0.500, 0.366, 0.866], [0.359, 0.000, 0.359], [0.641, 0.000, 0.641], [0.500, 0.634, 0.134], [0.000, 0.500, 0.500], [0.000, 0.000, 0.000]],
  "dos_ef_per_ev_cell": 23.35,
  "crystal_system": "orthorhombic",
  "delta_e_f_mev_per_atom": -83
}

=====

{
  "formula": "Nd5MgCd3",
  "functional": "PBE-GGA",
  "state": "relaxed",
  "lattice": [[-6.077, 2.529, -1.999], [1.855, -2.609, -8.941], [-4.431, -6.002, 5.876]],
  "species": ["Cd", "Cd", "Cd", "Cd", "Cd", "Cd", "Mg", "Mg", "Nd", "Nd", "Nd", "Nd", "Nd", "Nd", "Nd", "Nd", "Nd", "Nd"],
  "frac_coords": [[0.250, 0.000, 0.349], [0.250, 0.349, 0.000], [0.250, 0.651, 0.651], [0.750, 0.651, 0.000], [0.750, 0.349, 0.349], [0.750, 0.000, 0.651], [0.500, 0.000, 0.000], [0.000, 0.000, 0.000], [0.750, 0.688, 0.688], [0.750, 0.312, 0.000], [0.000, 0.667, 0.333], [0.500, 0.333, 0.667], [0.250, 0.312, 0.312], [0.750, 0.000, 0.312], [0.500, 0.667, 0.333], [0.250, 0.000, 0.688], [0.000, 0.333, 0.667], [0.250, 0.688, 0.000]],
  "dos_ef_per_ev_cell": 21.01,
  "crystal_system": "hexagonal",
  "delta_e_f_mev_per_atom": -178
}

=====

{
  "formula": "Nd3Mg2Cd4",
  "functional": "PBE-GGA",
  "state": "relaxed",
  "lattice": [[5.141, 0.000, 0.000], [-2.571, 5.550, -0.849], [0.000, -3.710, 8.791]],
  "species": ["Cd", "Cd", "Cd", "Cd", "Nd", "Nd", "Nd", "Mg", "Mg"],
  "frac_coords": [[0.276, 0.551, 0.940], [0.944, 0.889, 0.613], [0.056, 0.111, 0.387], [0.724, 0.449, 0.060], [0.334, 0.669, 0.332], [0.000, 0.000, 0.000], [0.666, 0.331, 0.668], [0.385, 0.771, 0.718], [0.615, 0.229, 0.282]],
  "dos_ef_per_ev_cell": 6.44,
  "crystal_system": "monoclinic",
  "delta_e_f_mev_per_atom": -284
}

=====

{
  "formula": "NdMgCd17",
  "functional": "PBE-GGA",
  "state": "relaxed",
  "lattice": [[-7.014, 3.002, -1.136], [-1.077, -2.228, -7.306], [-4.222, -6.323, 1.297]],
  "species": ["Cd", "Cd", "Cd", "Cd", "Cd", "Cd", "Cd", "Cd", "Cd", "Cd", "Cd", "Cd", "Cd", "Cd", "Cd", "Cd", "Cd", "Nd", "Mg"],
  "frac_coords": [[0.599, 0.599, 0.236], [0.969, 0.537, 0.969], [0.347, 0.347, 0.890], [0.347, 0.890, 0.347], [0.890, 0.347, 0.347], [0.302, 0.003, 0.697], [0.697, 0.003, 0.302], [0.302, 0.697, 0.003], [0.969, 0.969, 0.537], [0.599, 0.236, 0.599], [0.537, 0.969, 0.969], [0.003, 0.302, 0.697], [0.697, 0.302, 0.003], [0.107, 0.107, 0.107], [0.916, 0.916, 0.916], [0.003, 0.697, 0.302], [0.236, 0.599, 0.599], [0.667, 0.667, 0.667], [0.315, 0.315, 0.315]],
  "dos_ef_per_ev_cell": 5.61,
  "crystal_system": "trigonal",
  "delta_e_f_mev_per_atom": -57
}

=====

{
  "formula": "NdMgCd2",
  "functional": "PBE-GGA",
  "state": "relaxed",
  "lattice": [[-3.623, -2.637, -0.108], [2.762, -3.830, 0.886], [-0.614, 0.650, 4.720]],
  "species": ["Nd", "Mg", "Cd", "Cd"],
  "frac_coords": [[0.500, 0.500, 0.500], [0.500, 0.000, 0.000], [0.000, 0.500, 0.000], [0.000, 0.000, 0.500]],
  "dos_ef_per_ev_cell": 4.30,
  "crystal_system": "tetragonal",
  "delta_e_f_mev_per_atom": -224
}

=====

{
  "formula": "NdMg4Cd2",
  "functional": "PBE-GGA",
  "state": "relaxed",
  "lattice": [[4.730, 0.000, 0.000], [0.000, 8.503, 0.000], [0.000, 0.000, 8.503]],
  "species": ["Nd", "Nd", "Cd", "Cd", "Cd", "Cd", "Mg", "Mg", "Mg", "Mg", "Mg", "Mg", "Mg", "Mg"],
  "frac_coords": [[0.000, 0.500, 0.500], [0.500, 0.000, 0.000], [0.000, 0.212, 0.788], [0.500, 0.288, 0.288], [0.500, 0.712, 0.712], [0.000, 0.788, 0.212], [0.500, 0.154, 0.596], [0.500, 0.596, 0.154], [0.000, 0.096, 0.346], [0.000, 0.654, 0.904], [0.000, 0.346, 0.096], [0.500, 0.404, 0.846], [0.500, 0.846, 0.404], [0.000, 0.904, 0.654]],
  "dos_ef_per_ev_cell": 8.45,
  "crystal_system": "tetragonal",
  "delta_e_f_mev_per_atom": -147
}

=====

{
  "formula": "NdMg3Cd",
  "functional": "PBE-GGA",
  "state": "relaxed",
  "lattice": [[-3.608, -0.232, -3.563], [-1.972, -6.192, 2.400], [-4.544, 3.254, 4.390]],
  "species": ["Cd", "Cd", "Mg", "Mg", "Mg", "Mg", "Mg", "Mg", "Nd", "Nd"],
  "frac_coords": [[0.381, 0.783, 0.617], [0.881, 0.891, 0.189], [0.881, 0.553, 0.462], [0.881, 0.284, 0.100], [0.381, 0.121, 0.344], [0.381, 0.029, 0.949], [0.881, 0.645, 0.857], [0.381, 0.391, 0.706], [0.881, 0.083, 0.634], [0.381, 0.592, 0.172]],
  "dos_ef_per_ev_cell": 4.15,
  "crystal_system": "monoclinic",
  "delta_e_f_mev_per_atom": -126
}

=====

no.,total DFT energy (no corrections) (eV for the cell shown),total magnetic moment (μB/atom)
1,-34.50,0.06
2,-12.04,0.00
3,-19.25,0.00
4,-34.28,0.00
5,-31.84,0.00
6,-65.56,0.00
7,-59.57,0.00
8,-23.71,0.00
9,-23.01,0.00
10,-9.09,0.00
11,-28.01,0.00
12,-22.19,0.00